Record 1
NaTl4Cd: optimized geometry, PBE-GGA.

Cell: 9.7638 9.7638 6.3008 Å, 98.04 98.04 139.81°
Positions (direct):
Na 0.1236 0.8764 0.7500
Na 0.8764 0.1236 0.2500
Tl 0.0385 0.4689 0.7534
Tl 0.2185 0.2894 0.7627
Tl 0.2894 0.2185 0.2627
Tl 0.4689 0.0385 0.2534
Tl 0.5311 0.9615 0.7466
Tl 0.7106 0.7815 0.7373
Tl 0.7815 0.7106 0.2373
Tl 0.9615 0.5311 0.2466
Cd 0.3746 0.6254 0.2500
Cd 0.6254 0.3746 0.7500

symmetry = C2/c
raw total energy = -23.343 eV for the cell shown
ΔE to the lowest computed polymorph = 42.8 meV/atom
mass density = 8.9 g cm⁻³
magnetic moment = 0.00 μB/f.u.

Record 2
PmTh2Al2: optimized geometry, PBE-GGA.

Cell: 8.8552 8.8552 5.8198 Å, 90.00 90.00 140.73°
Positions (direct):
Pm 0.0000 0.0000 0.0000
Pm 0.0000 0.0000 0.5000
Th 0.1984 0.8016 0.7500
Th 0.3820 0.6180 0.2500
Th 0.6180 0.3820 0.7500
Th 0.8016 0.1984 0.2500
Al 0.0973 0.3858 0.7500
Al 0.3858 0.0973 0.2500
Al 0.6142 0.9027 0.7500
Al 0.9027 0.6142 0.2500

symmetry = Cmcm
raw total energy = -53.738 eV for the cell shown
mass density = 7.6 g cm⁻³
magnetic moment = 0.00 μB/f.u.